Entry from the Alexandria database: a relaxed structure of AlCrNO2 (PBE+U).

```
AlCrNO2
1.0
3.573 0.000 0.000
0.000 3.573 0.000
0.000 0.000 4.111
Al Cr N O
1 1 1 2
direct
0.000 0.000 0.000
0.500 0.500 0.500
0.500 0.500 0.000
0.000 0.500 0.500
0.500 0.000 0.500
```

Results
Space group: No. 123
E: -6.1014 eV/atom